1.
Below is a relaxed structure of PrSi2Au4, with properties calculated at the PBE level.

Structure (CIF):
```
data_PrSi2Au4
_symmetry_space_group_name_H-M 'P 1'
_symmetry_Int_Tables_number 1
_cell_length_a 7.214
_cell_length_b 7.214
_cell_length_c 4.440
_cell_angle_alpha 90.00
_cell_angle_beta 90.00
_cell_angle_gamma 144.35
loop_
_symmetry_equiv_pos_as_xyz
'x,y,z'
loop_
_atom_site_label
_atom_site_type_symbol
_atom_site_fract_x
_atom_site_fract_y
_atom_site_fract_z
Pr1 Pr 0.000 0.000 0.000
Si1 Si 0.413 0.587 0.500
Si2 Si 0.587 0.413 0.500
Au1 Au 0.174 0.826 0.500
Au2 Au 0.325 0.675 0.000
Au3 Au 0.675 0.325 0.000
Au4 Au 0.826 0.174 0.500
```

Results
energy	-4.58	eV per atom

***

2.
Below is a relaxed structure of RbNa2Ru, with properties calculated at the PBE level.

Structure (CIF):
```
data_RbNa2Ru
_symmetry_space_group_name_H-M 'P 1'
_symmetry_Int_Tables_number 1
_cell_length_a 5.576
_cell_length_b 5.576
_cell_length_c 5.576
_cell_angle_alpha 60.00
_cell_angle_beta 60.00
_cell_angle_gamma 60.00
loop_
_symmetry_equiv_pos_as_xyz
'x,y,z'
loop_
_atom_site_label
_atom_site_type_symbol
_atom_site_fract_x
_atom_site_fract_y
_atom_site_fract_z
Rb1 Rb 0.000 0.000 0.000
Na1 Na 0.250 0.250 0.250
Na2 Na 0.750 0.750 0.750
Ru1 Ru 0.500 0.500 0.500
```

Results
E above lowest polymorph	0.000	eV/atom
formation energy from the elements	3.871	eV per formula unit

***

3.
Below is a relaxed structure of Cs4Au2I, with properties calculated at the PBE level.

Structure (CIF):
```
data_Cs4Au2I
_symmetry_space_group_name_H-M 'P 1'
_symmetry_Int_Tables_number 1
_cell_length_a 10.220
_cell_length_b 10.220
_cell_length_c 10.220
_cell_angle_alpha 138.08
_cell_angle_beta 138.08
_cell_angle_gamma 60.79
loop_
_symmetry_equiv_pos_as_xyz
'x,y,z'
loop_
_atom_site_label
_atom_site_type_symbol
_atom_site_fract_x
_atom_site_fract_y
_atom_site_fract_z
Cs1 Cs 0.000 0.500 0.500
Cs2 Cs 0.219 0.219 0.000
Cs3 Cs 0.500 0.000 0.500
Cs4 Cs 0.781 0.781 0.000
Au1 Au 0.419 0.419 0.000
Au2 Au 0.581 0.581 0.000
I1 I 0.000 0.000 0.000
```

Results
E above lowest polymorph	0.102	eV/atom

***

no.,magnetization (μB per atom)
1,0.00
2,0.50
3,0.00